Record 1
Compound: LaBeIrPb
Source: the Open Quantum Materials Database
Functional: PBE
Structure: relaxed

Summary:
Its final energy is -81.52 eV/cell. Its relative energy among the computed polymorphs is 0.71 eV/f.u. The value obtained for the magnetic moment is 0.0 Bohr magnetons per cell. The calculated volume comes out at 344 Å³ per cell.

The structure in CIF format:
```
data_LaBeIrPb
_space_group_name_H-M_alt 'F -4 3 m'
_space_group_IT_number 216
_space_group_name_Hall 'F -4 2 3'
_cell_length_a 7.004
_cell_length_b 7.004
_cell_length_c 7.004
_cell_angle_alpha 90.00
_cell_angle_beta 90.00
_cell_angle_gamma 90.00
loop_
_atom_site_label
_atom_site_fract_x
_atom_site_fract_y
_atom_site_fract_z
La1 0.000 0.000 0.000
Be1 0.000 0.000 0.500
Ir1 0.250 0.250 0.750
Pb1 0.250 0.250 0.250
```

Record 2
Compound: LaBeSiIr2
Source: the Open Quantum Materials Database
Functional: PBE
Structure: relaxed

Summary:
Its final energy is -72.22 eV/cell. The value obtained for the magnetic moment is 0.0 Bohr magnetons per cell. The calculated volume comes out at 171 Å³ per cell.

The structure in CIF format:
```
data_LaBeSiIr2
_space_group_name_H-M_alt 'I 4 m m'
_space_group_IT_number 107
_space_group_name_Hall 'I 4 -2'
_cell_length_a 4.148
_cell_length_b 4.148
_cell_length_c 9.963
_cell_angle_alpha 90.00
_cell_angle_beta 90.00
_cell_angle_gamma 90.00
loop_
_atom_site_label
_atom_site_fract_x
_atom_site_fract_y
_atom_site_fract_z
La1 0.000 0.000 0.000
Be1 0.000 0.000 0.361
Si1 0.000 0.000 0.636
Ir1 0.000 0.500 0.255
```

Record 3
Compound: LiBeIr2
Source: the Open Quantum Materials Database
Functional: PBE
Structure: relaxed

Summary:
Its final energy is -94.51 eV/cell. The value obtained for the magnetic moment is 0.0 Bohr magnetons per cell. The calculated volume comes out at 201 Å³ per cell.

The structure in CIF format:
```
data_LiBeIr2
_space_group_name_H-M_alt 'F -4 3 m'
_space_group_IT_number 216
_space_group_name_Hall 'F -4 2 3'
_cell_length_a 5.861
_cell_length_b 5.861
_cell_length_c 5.861
_cell_angle_alpha 90.00
_cell_angle_beta 90.00
_cell_angle_gamma 90.00
loop_
_atom_site_label
_atom_site_fract_x
_atom_site_fract_y
_atom_site_fract_z
Li1 0.000 0.000 0.000
Be1 0.250 0.250 0.750
Ir1 0.000 0.000 0.500
Ir2 0.250 0.250 0.250
```